Entry from the Alexandria database: a geometry-optimized La2TbSm3 structure (PBE).

a = 6.799 Å, b = 6.799 Å, c = 9.197 Å
α = 97.81°, β = 97.81°, γ = 95.14°
Atoms (fractional coordinates):
La  0.123  0.626  0.875
La  0.374  0.877  0.625
La  0.626  0.123  0.375
La  0.877  0.374  0.125
Tb  0.083  0.917  0.250
Tb  0.917  0.083  0.750
Sm  0.167  0.334  0.500
Sm  0.334  0.167  0.000
Sm  0.417  0.583  0.250
Sm  0.583  0.417  0.750
Sm  0.666  0.833  0.000
Sm  0.833  0.666  0.500

density: 7.1 g cm⁻³
space group: No. 15
total magnetization: 0.00 μB/f.u.
Fermi-level density of states: 9.354 states/eV/f.u.
energy of formation from the pure elements: 0.06 eV/atom


Entry from the Alexandria database: a geometry-optimized LaTb10Sm4 structure (PBE).

a = 8.838 Å, b = 8.838 Å, c = 8.838 Å
α = 112.17°, β = 112.17°, γ = 104.21°
Atoms (fractional coordinates):
La  0.000  0.000  0.000
Tb  0.047  0.951  0.659
Tb  0.049  0.708  0.096
Tb  0.250  0.750  0.500
Tb  0.292  0.388  0.341
Tb  0.388  0.047  0.096
Tb  0.612  0.953  0.904
Tb  0.708  0.612  0.659
Tb  0.750  0.250  0.500
Tb  0.951  0.292  0.904
Tb  0.953  0.049  0.341
Sm  0.213  0.553  0.767
Sm  0.447  0.213  0.660
Sm  0.553  0.787  0.340
Sm  0.787  0.447  0.233

density: 7.3 g cm⁻³
space group: No. 87
total magnetization: 0.00 μB/f.u.
Fermi-level density of states: 24.915 states/eV/f.u.
energy of formation from the pure elements: 0.45 eV/atom


Entry from the Alexandria database: a geometry-optimized La6Tb16Sm7 structure (PBE).

a = 11.212 Å, b = 11.212 Å, c = 11.212 Å
α = 60.00°, β = 60.00°, γ = 60.00°
Atoms (fractional coordinates):
La  0.222  0.222  0.778
La  0.222  0.778  0.222
La  0.222  0.778  0.778
La  0.778  0.222  0.222
La  0.778  0.222  0.778
La  0.778  0.778  0.222
Tb  0.152  0.152  0.152
Tb  0.152  0.152  0.545
Tb  0.152  0.545  0.152
Tb  0.155  0.615  0.615
Tb  0.385  0.385  0.385
Tb  0.385  0.385  0.845
Tb  0.385  0.845  0.385
Tb  0.455  0.848  0.848
Tb  0.545  0.152  0.152
Tb  0.615  0.155  0.615
Tb  0.615  0.615  0.155
Tb  0.615  0.615  0.615
Tb  0.845  0.385  0.385
Tb  0.848  0.455  0.848
Tb  0.848  0.848  0.455
Tb  0.848  0.848  0.848
Sm  0.000  0.000  0.000
Sm  0.000  0.000  0.500
Sm  0.000  0.500  0.000
Sm  0.000  0.500  0.500
Sm  0.500  0.000  0.000
Sm  0.500  0.000  0.500
Sm  0.500  0.500  0.000

density: 7.4 g cm⁻³
space group: No. 225
total magnetization: 0.00 μB/f.u.
Fermi-level density of states: 42.536 states/eV/f.u.
energy of formation from the pure elements: 0.18 eV/atom


Entry from the Alexandria database: a geometry-optimized La2Tb6Sm5 structure (PBE).

a = 11.831 Å, b = 20.620 Å, c = 3.624 Å
α = 90.00°, β = 90.00°, γ = 90.00°
Atoms (fractional coordinates):
La  0.171  0.221  0.000
La  0.329  0.721  0.000
La  0.671  0.279  0.000
La  0.829  0.779  0.000
Tb  0.061  0.925  0.000
Tb  0.074  0.637  0.000
Tb  0.182  0.376  0.500
Tb  0.318  0.876  0.500
Tb  0.426  0.137  0.000
Tb  0.439  0.425  0.000
Tb  0.561  0.575  0.000
Tb  0.574  0.863  0.000
Tb  0.682  0.124  0.500
Tb  0.818  0.624  0.500
Tb  0.926  0.363  0.000
Tb  0.939  0.075  0.000
Sm  0.000  0.500  0.500
Sm  0.089  0.782  0.500
Sm  0.201  0.054  0.500
Sm  0.299  0.554  0.500
Sm  0.411  0.282  0.500
Sm  0.500  0.000  0.500
Sm  0.589  0.718  0.500
Sm  0.701  0.446  0.500
Sm  0.799  0.946  0.500
Sm  0.911  0.218  0.500

density: 7.4 g cm⁻³
space group: No. 55
total magnetization: 0.00 μB/f.u.
Fermi-level density of states: 17.383 states/eV/f.u.
energy of formation from the pure elements: 0.09 eV/atom


Entry from the Alexandria database: a geometry-optimized LaTb2Sm5 structure (PBE).

a = 7.265 Å, b = 14.536 Å, c = 5.115 Å
α = 90.00°, β = 90.00°, γ = 90.00°
Atoms (fractional coordinates):
La  0.000  0.000  0.000
La  0.500  0.500  0.000
Tb  0.249  0.126  0.500
Tb  0.251  0.626  0.500
Tb  0.749  0.374  0.500
Tb  0.751  0.874  0.500
Sm  0.000  0.500  0.000
Sm  0.001  0.748  0.000
Sm  0.249  0.374  0.500
Sm  0.251  0.874  0.500
Sm  0.499  0.248  0.000
Sm  0.500  0.000  0.000
Sm  0.501  0.752  0.000
Sm  0.749  0.126  0.500
Sm  0.751  0.626  0.500
Sm  0.999  0.252  0.000

density: 7.4 g cm⁻³
space group: No. 55
total magnetization: 0.00 μB/f.u.
Fermi-level density of states: 11.815 states/eV/f.u.
energy of formation from the pure elements: 0.02 eV/atom


Entry from the Alexandria database: a geometry-optimized La2Tb3Sm3 structure (PBE).

a = 9.025 Å, b = 9.025 Å, c = 17.231 Å
α = 90.00°, β = 90.00°, γ = 156.82°
Atoms (fractional coordinates):
La  0.223  0.777  0.652
La  0.223  0.777  0.848
La  0.777  0.223  0.152
La  0.777  0.223  0.348
Tb  0.004  0.996  0.601
Tb  0.004  0.996  0.899
Tb  0.419  0.581  0.250
Tb  0.581  0.419  0.750
Tb  0.996  0.004  0.101
Tb  0.996  0.004  0.399
Sm  0.354  0.646  0.510
Sm  0.354  0.646  0.990
Sm  0.394  0.606  0.750
Sm  0.606  0.394  0.250
Sm  0.646  0.354  0.010
Sm  0.646  0.354  0.490

density: 7.2 g cm⁻³
space group: No. 63
total magnetization: 0.00 μB/f.u.
Fermi-level density of states: 11.414 states/eV/f.u.
energy of formation from the pure elements: 0.12 eV/atom


Entry from the Alexandria database: a geometry-optimized LaTbSm2 structure (PBE).

a = 12.134 Å, b = 3.646 Å, c = 6.277 Å
α = 90.00°, β = 99.97°, γ = 90.00°
Atoms (fractional coordinates):
La  0.000  0.000  0.000
La  0.500  0.500  0.000
Tb  0.000  0.500  0.500
Tb  0.500  0.000  0.500
Sm  0.249  0.000  0.749
Sm  0.251  0.500  0.251
Sm  0.749  0.500  0.749
Sm  0.751  0.000  0.251

density: 7.3 g cm⁻³
space group: No. 12
total magnetization: 0.00 μB/f.u.
Fermi-level density of states: 6.143 states/eV/f.u.
energy of formation from the pure elements: 0.02 eV/atom


Entry from the Alexandria database: a geometry-optimized LaTb4Sm2 structure (PBE).

a = 4.589 Å, b = 4.589 Å, c = 22.887 Å
α = 90.00°, β = 90.00°, γ = 90.00°
Atoms (fractional coordinates):
La  0.000  0.000  0.000
La  0.500  0.500  0.500
Tb  0.000  0.000  0.140
Tb  0.000  0.000  0.860
Tb  0.000  0.500  0.250
Tb  0.000  0.500  0.750
Tb  0.500  0.000  0.250
Tb  0.500  0.000  0.750
Tb  0.500  0.500  0.360
Tb  0.500  0.500  0.640
Sm  0.000  0.000  0.399
Sm  0.000  0.000  0.601
Sm  0.500  0.500  0.101
Sm  0.500  0.500  0.899

density: 7.4 g cm⁻³
space group: No. 139
total magnetization: 0.00 μB/f.u.
Fermi-level density of states: 10.536 states/eV/f.u.
energy of formation from the pure elements: 0.24 eV/atom


Entry from the Alexandria database: a geometry-optimized LaTb3Sm3 structure (PBE).

a = 12.563 Å, b = 12.563 Å, c = 3.727 Å
α = 90.00°, β = 90.00°, γ = 120.00°
Atoms (fractional coordinates):
La  0.333  0.667  0.250
La  0.667  0.333  0.750
Tb  0.085  0.310  0.750
Tb  0.226  0.915  0.750
Tb  0.310  0.226  0.250
Tb  0.690  0.774  0.750
Tb  0.774  0.085  0.250
Tb  0.915  0.690  0.250
Sm  0.100  0.612  0.750
Sm  0.388  0.488  0.750
Sm  0.488  0.100  0.250
Sm  0.512  0.900  0.750
Sm  0.612  0.512  0.250
Sm  0.900  0.388  0.250

density: 7.0 g cm⁻³
space group: No. 176
total magnetization: 0.00 μB/f.u.
Fermi-level density of states: 9.745 states/eV/f.u.
energy of formation from the pure elements: 0.32 eV/atom


Entry from the Alexandria database: a geometry-optimized La4Tb3Sm4 structure (PBE).

a = 10.851 Å, b = 6.735 Å, c = 6.735 Å
α = 51.06°, β = 90.00°, γ = 90.00°
Atoms (fractional coordinates):
La  0.000  0.000  0.000
La  0.202  0.804  0.804
La  0.500  0.927  0.927
La  0.798  0.804  0.804
Tb  0.000  0.295  0.295
Tb  0.290  0.454  0.454
Tb  0.710  0.454  0.454
Sm  0.000  0.590  0.590
Sm  0.304  0.149  0.149
Sm  0.500  0.651  0.651
Sm  0.696  0.149  0.149

density: 7.1 g cm⁻³
space group: No. 38
total magnetization: 0.00 μB/f.u.
Fermi-level density of states: 19.188 states/eV/f.u.
energy of formation from the pure elements: 0.14 eV/atom


Entry from the Alexandria database: a geometry-optimized La4TbSm structure (PBE).

a = 6.876 Å, b = 6.876 Å, c = 12.408 Å
α = 108.27°, β = 108.27°, γ = 50.29°
Atoms (fractional coordinates):
La  0.037  0.540  0.711
La  0.204  0.703  0.546
La  0.297  0.796  0.954
La  0.460  0.963  0.789
La  0.540  0.037  0.211
La  0.703  0.204  0.046
La  0.796  0.297  0.454
La  0.963  0.460  0.289
Tb  0.000  0.500  0.000
Tb  0.500  0.000  0.500
Sm  0.251  0.749  0.250
Sm  0.749  0.251  0.750

density: 6.8 g cm⁻³
space group: No. 15
total magnetization: 0.00 μB/f.u.
Fermi-level density of states: 10.151 states/eV/f.u.
energy of formation from the pure elements: 0.06 eV/atom


Entry from the Alexandria database: a geometry-optimized La3TbSm6 structure (PBE).

a = 6.961 Å, b = 6.961 Å, c = 8.876 Å
α = 103.27°, β = 103.27°, γ = 58.95°
Atoms (fractional coordinates):
La  0.000  0.000  0.000
La  0.474  0.474  0.181
La  0.526  0.526  0.819
Tb  0.000  0.000  0.500
Sm  0.026  0.481  0.820
Sm  0.302  0.302  0.494
Sm  0.481  0.026  0.820
Sm  0.519  0.974  0.180
Sm  0.698  0.698  0.506
Sm  0.974  0.519  0.180

density: 6.9 g cm⁻³
space group: No. 12
total magnetization: 0.00 μB/f.u.
Fermi-level density of states: 17.329 states/eV/f.u.
energy of formation from the pure elements: 0.26 eV/atom